Entry 1:
Below is a relaxed Ca2ZrMo crystal, with properties calculated at the PBE level.

Calculated values
Space group: No. 123

a = 4.243 Å, b = 4.243 Å, c = 5.346 Å
α = 90.00°, β = 90.00°, γ = 90.00°
Fractional positions:
Mo: 0.500 0.000 0.500
Ca: 0.000 0.000 0.000
Ca: 0.500 0.500 0.000
Zr: 0.000 0.500 0.500

=====

Entry 2:
Below is a relaxed Ca2ZrMo crystal, with properties calculated at the PBE level.

Calculated values
Space group: No. 123

a = 2.997 Å, b = 2.997 Å, c = 10.823 Å
α = 90.00°, β = 90.00°, γ = 90.00°
Fractional positions:
Mo: 0.500 0.500 0.250
Ca: 0.000 0.000 0.024
Ca: 0.000 0.000 0.476
Zr: 0.500 0.500 0.750

=====

Entry 3:
Below is a relaxed CaZr2Mo crystal, with properties calculated at the PBE level.

Calculated values
Space group: No. 6

a = 4.792 Å, b = 3.118 Å, c = 6.590 Å
α = 74.00°, β = 90.00°, γ = 90.00°
Fractional positions:
Mo: 0.500 0.757 0.802
Ca: 0.000 0.576 0.516
Zr: 0.000 0.912 0.985
Zr: 0.500 0.255 0.197

=====

Entry 4:
Below is a relaxed CaZr2Mo crystal, with properties calculated at the PBE level.

Calculated values
Space group: No. 99

a = 2.971 Å, b = 2.971 Å, c = 10.267 Å
α = 90.00°, β = 90.00°, γ = 90.00°
Fractional positions:
Mo: 0.500 0.500 0.764
Ca: 0.000 0.000 0.524
Zr: 0.000 0.000 0.988
Zr: 0.500 0.500 0.224

=====

Entry 5:
Below is a relaxed Ca2ZrMo crystal, with properties calculated at the PBE level.

Calculated values
Space group: No. 25

a = 3.612 Å, b = 3.593 Å, c = 9.318 Å
α = 67.29°, β = 90.00°, γ = 90.00°
Fractional positions:
Mo: 0.000 0.444 0.557
Ca: 0.000 0.046 0.954
Ca: 0.500 0.191 0.309
Zr: 0.500 0.819 0.681

=====

Entry 6:
Below is a relaxed Ca2ZrMo crystal, with properties calculated at the PBE level.

Calculated values
Space group: No. 139

a = 6.135 Å, b = 6.135 Å, c = 6.135 Å
α = 139.51°, β = 139.51°, γ = 58.59°
Each line ends with the local moment (μB).
Fractional positions:
Mo: 0.250 0.750 0.500  0.08
Ca: 0.000 0.000 0.000  0.00
Ca: 0.500 0.500 0.000  0.00
Zr: 0.750 0.250 0.500  0.01

=====

Entry 7:
Below is a relaxed CaZrMo2 crystal, with properties calculated at the PBE level.

Calculated values
Space group: No. 123

a = 5.245 Å, b = 5.245 Å, c = 2.917 Å
α = 90.00°, β = 90.00°, γ = 90.00°
Fractional positions:
Mo: 0.000 0.000 0.000
Mo: 0.500 0.500 0.000
Ca: 0.000 0.500 0.500
Zr: 0.500 0.000 0.500

=====

Entry 8:
Below is a relaxed Ca2ZrMo crystal, with properties calculated at the PBE level.

Calculated values
Space group: No. 44

a = 6.433 Å, b = 6.433 Å, c = 6.433 Å
α = 149.42°, β = 125.76°, γ = 63.56°
Fractional positions:
Mo: 0.524 0.524 0.000
Ca: 0.989 0.989 0.000
Ca: 0.287 0.787 0.500
Zr: 0.700 0.200 0.500

=====

Entry 9:
Below is a relaxed CaZr2Mo crystal, with properties calculated at the PBE level.

Calculated values
Space group: No. 71

a = 6.016 Å, b = 6.016 Å, c = 6.016 Å
α = 147.48°, β = 125.01°, γ = 65.36°
Fractional positions:
Mo: 0.250 0.750 0.500
Ca: 0.750 0.250 0.500
Zr: 0.042 0.042 0.000
Zr: 0.458 0.458 0.000

=====

Entry 10:
Below is a relaxed Ca2ZrMo crystal, with properties calculated at the PBE level.

Calculated values
Space group: No. 65

a = 3.003 Å, b = 3.003 Å, c = 11.000 Å
α = 90.00°, β = 90.00°, γ = 102.55°
Fractional positions:
Mo: 0.500 0.500 0.250
Ca: 0.000 0.000 0.024
Ca: 0.000 0.000 0.476
Zr: 0.500 0.500 0.750

=====

Entry 11:
Below is a relaxed CaZrMo2 crystal, with properties calculated at the PBE level.

Calculated values
Space group: No. 122

a = 7.617 Å, b = 7.617 Å, c = 6.125 Å
α = 51.55°, β = 51.55°, γ = 90.00°
Fractional positions:
Mo: 0.640 0.125 0.250
Mo: 0.110 0.625 0.250
Mo: 0.375 0.360 0.750
Mo: 0.875 0.890 0.750
Ca: 0.500 0.500 0.000
Ca: 0.250 0.750 0.500
Zr: 0.000 0.000 0.000
Zr: 0.750 0.250 0.500

=====

Entry 12:
Below is a relaxed Ca2ZrMo crystal, with properties calculated at the PBE level.

Calculated values
Space group: No. 10

a = 5.481 Å, b = 3.077 Å, c = 5.939 Å
α = 74.37°, β = 90.00°, γ = 90.00°
Fractional positions:
Mo: 0.500 0.250 0.250
Ca: 0.000 0.025 0.008
Ca: 0.000 0.475 0.492
Zr: 0.500 0.750 0.750

=====

Entry 13:
Below is a relaxed CaZrMo2 crystal, with properties calculated at the PBE level.

Calculated values
Space group: No. 35

a = 3.000 Å, b = 3.000 Å, c = 9.991 Å
α = 90.00°, β = 90.00°, γ = 112.14°
Fractional positions:
Mo: 0.000 0.000 0.036
Mo: 0.500 0.500 0.230
Ca: 0.500 0.500 0.775
Zr: 0.000 0.000 0.459

=====

Entry 14:
Below is a relaxed CaZrMo2 crystal, with properties calculated at the PBE level.

Calculated values
Space group: No. 65

a = 5.741 Å, b = 5.741 Å, c = 2.725 Å
α = 90.00°, β = 90.00°, γ = 118.77°
Fractional positions:
Mo: 0.000 0.000 0.000
Mo: 0.500 0.500 0.000
Ca: 0.000 0.500 0.500
Zr: 0.500 0.000 0.500

=====

Entry 15:
Below is a relaxed CaZr2Mo crystal, with properties calculated at the PBE level.

Calculated values
Space group: No. 122

a = 4.307 Å, b = 4.307 Å, c = 10.660 Å
α = 78.35°, β = 78.35°, γ = 90.00°
Fractional positions:
Mo: 0.000 0.000 0.000
Mo: 0.750 0.250 0.500
Ca: 0.500 0.500 0.000
Ca: 0.250 0.750 0.500
Zr: 0.652 0.125 0.250
Zr: 0.098 0.625 0.250
Zr: 0.375 0.348 0.750
Zr: 0.875 0.902 0.750

=====

no.,E_form (kcal/mol of atoms)
1,15.4
2,16.3
3,8.4
4,10.5
5,6.2
6,15.5
7,17.5
8,11.1
9,7.3
10,16.0
11,26.2
12,16.0
13,9.0
14,14.3
15,20.8